A plane-wave DFT calculation with PBE-GGA was carried out for crystalline CeNd2ThP4 at its relaxed geometry.

Cell lengths 4.1482, 7.1756, 7.1789 Å; angles 70.50, 90.00, 90.00 degrees
Site moments in Bohr magnetons follow the coordinates.
Sites, in units of the cell vectors:
Nd 0.5000 0.0000 0.5000  0.02
Nd 0.0000 0.0000 0.0000  0.01
Ce 0.5000 0.5000 0.0000  0.53
P 0.5000 0.2554 0.7492  0.00
P 0.5000 0.7446 0.2508  0.00
P 0.0000 0.7437 0.7529  -0.01
P 0.0000 0.2563 0.2471  -0.01
Th 0.0000 0.5000 0.5000  0.01

Results
- Formation energy: -1200 kJ/mol of formula units
- Space-group type: P2/m, No. 10

=====

A plane-wave DFT calculation with PBE-GGA was carried out for crystalline FeAu2Se at its relaxed geometry.

Cell lengths 7.5465, 7.5465, 5.9570 Å; angles 50.70, 50.70, 90.00 degrees
Site moments in Bohr magnetons follow the coordinates.
Sites, in units of the cell vectors:
Au 0.6149 0.1250 0.2500  0.04
Au 0.3750 0.3851 0.7500  0.03
Au 0.8750 0.8649 0.7500  0.04
Au 0.1351 0.6250 0.2500  0.04
Fe 0.5000 0.5000 0.0000  3.12
Fe 0.2500 0.7500 0.5000  3.09
Se 0.0000 0.0000 0.0000  0.03
Se 0.7500 0.2500 0.5000  0.03

Results
- Energy relative to the elements, uncorrected: 342.5 meV/atom
- Space-group type: I-42d, No. 122

=====

A plane-wave DFT calculation with PBE-GGA was carried out for crystalline LiTb2SmS5 at its relaxed geometry.

Cell lengths 3.9299, 8.4136, 11.8746 Å; angles 90.00, 90.00, 103.51 degrees
Sites, in units of the cell vectors:
S 0.4992 0.9983 0.2860
S 0.3643 0.7287 0.0024
S 0.0433 0.0866 0.0764
S 0.6357 0.2713 0.5024
S 0.2894 0.5788 0.6654
S 0.5008 0.0017 0.7860
S 0.3088 0.6175 0.3349
S 0.7106 0.4212 0.1654
S 0.9567 0.9134 0.5764
S 0.6912 0.3825 0.8349
Tb 0.1086 0.2173 0.6835
Tb 0.8914 0.7827 0.1835
Tb 0.8787 0.7574 0.7928
Tb 0.1213 0.2426 0.2928
Sm 0.1960 0.3920 0.9990
Sm 0.8040 0.6080 0.4990
Li 0.5116 0.0232 0.9836
Li 0.4884 0.9768 0.4836

Results
- Energy relative to the elements, uncorrected: -1859.3 meV/atom
- Space-group type: Cmc2_1, No. 36

=====

A plane-wave DFT calculation with PBE-GGA was carried out for crystalline CsRb4Ag3F12 at its relaxed geometry.

Cell lengths 8.3765, 8.3765, 8.3765 Å; angles 109.47, 109.47, 109.47 degrees
Site moments in Bohr magnetons follow the coordinates.
Sites, in units of the cell vectors:
F 0.6573 0.1436 0.8009  0.08
F 0.8564 0.5137 0.6573  0.08
F 0.4863 0.3427 0.1436  0.08
F 0.1991 0.3427 0.8564  0.08
F 0.3427 0.8564 0.1991  0.08
F 0.1436 0.4863 0.3427  0.08
F 0.6573 0.8564 0.5137  0.08
F 0.3427 0.1436 0.4863  0.08
F 0.8009 0.6573 0.1436  0.08
F 0.8564 0.1991 0.3427  0.08
F 0.5137 0.6573 0.8564  0.08
F 0.1436 0.8009 0.6573  0.08
Cs 0.0000 0.0000 0.0000  0.00
Ag 0.5000 0.5000 0.0000  0.33
Ag 0.0000 0.5000 0.5000  0.33
Ag 0.5000 0.0000 0.5000  0.33
Rb 0.5000 0.0000 0.0000  0.00
Rb 0.5000 0.5000 0.5000  0.00
Rb 0.0000 0.5000 0.0000  0.00
Rb 0.0000 0.0000 0.5000  0.00

Results
- Energy relative to the elements, uncorrected: -1964.5 meV/atom
- Space-group type: Im-3, No. 204

=====

A plane-wave DFT calculation with PBE-GGA was carried out for crystalline Nd4GeP2Br at its relaxed geometry.

Cell lengths 4.1952, 7.3631, 7.3256 Å; angles 71.24, 90.00, 90.00 degrees
Sites, in units of the cell vectors:
Nd 0.5000 0.7631 0.2531
Nd 0.5000 0.2369 0.7469
Nd 0.0000 0.7744 0.7292
Nd 0.0000 0.2256 0.2708
P 0.0000 0.0000 0.0000
P 0.5000 0.0000 0.5000
Ge 0.0000 0.5000 0.5000
Br 0.5000 0.5000 0.0000

Results
- Energy relative to the elements, uncorrected: -1372.1 meV/atom
- Space-group type: P2/m, No. 10

=====

A plane-wave DFT calculation with PBE-GGA was carried out for crystalline NiSbTe2Os at its relaxed geometry.

Cell lengths 5.2925, 5.2925, 5.0105 Å; angles 90.00, 90.00, 90.00 degrees
Site moments in Bohr magnetons follow the coordinates.
Sites, in units of the cell vectors:
Te 0.5000 0.0000 0.0000  0.04
Te 0.0000 0.5000 0.0000  0.04
Sb 0.0000 0.0000 0.5000  0.00
Ni 0.5000 0.5000 0.5000  0.75
Os 0.0000 0.0000 0.0000  0.05

Results
- Energy relative to the elements, uncorrected: 1130.8 meV/atom
- Space-group type: P4/mmm, No. 123
- ΔE to the lowest computed polymorph: 5 meV per atom

=====

A plane-wave DFT calculation with PBE-GGA was carried out for crystalline TmUAlO6 at its relaxed geometry.

Cell lengths 5.2656, 5.2656, 9.5740 Å; angles 90.00, 90.00, 120.00 degrees
Sites, in units of the cell vectors:
Tm 0.0000 0.0000 0.0000
Tm 0.0000 0.0000 0.5000
Al 0.3333 0.6667 0.2500
Al 0.6667 0.3333 0.7500
O 0.3398 0.3621 0.3616
O 0.6602 0.6379 0.6384
O 0.3621 0.0222 0.6384
O 0.6379 0.6602 0.1384
O 0.0222 0.3621 0.1384
O 0.6602 0.0222 0.8616
O 0.9778 0.3398 0.6384
O 0.3398 0.9778 0.1384
O 0.6379 0.9778 0.3616
O 0.9778 0.6379 0.8616
O 0.3621 0.3398 0.8616
O 0.0222 0.6602 0.3616
U 0.6667 0.3333 0.2500
U 0.3333 0.6667 0.7500

Results
- Energy relative to the elements, uncorrected: -3190.7 meV/atom
- Space-group type: P-31c, No. 163

=====

A plane-wave DFT calculation with PBE-GGA was carried out for crystalline Nd3MgAl at its relaxed geometry.

Cell lengths 5.3505, 5.3497, 10.5262 Å; angles 90.00, 75.28, 90.00 degrees
Sites, in units of the cell vectors:
Nd 0.7592 0.2500 0.1300
Nd 0.8892 0.7500 0.8700
Nd 0.2608 0.7500 0.1266
Nd 0.0749 0.7500 0.4985
Nd 0.3875 0.2500 0.8734
Nd 0.5734 0.2500 0.5015
Mg 0.9816 0.2500 0.6851
Mg 0.6667 0.7500 0.3149
Al 0.4825 0.7500 0.6834
Al 0.1659 0.2500 0.3166

Results
- Formation energy: -83 kJ/mol of formula units
- Space-group type: Cmcm, No. 63
- ΔE to the lowest computed polymorph: 0 meV per atom

=====

A plane-wave DFT calculation with PBE-GGA was carried out for crystalline Tl4FeP at its relaxed geometry.

Cell lengths 6.2260, 6.2260, 6.2260 Å; angles 60.00, 60.00, 60.00 degrees
Site moments in Bohr magnetons follow the coordinates.
Sites, in units of the cell vectors:
Tl 0.3746 0.8761 0.3746  -0.02
Tl 0.3746 0.3746 0.3746  -0.02
Tl 0.3746 0.3746 0.8761  -0.02
Tl 0.8761 0.3746 0.3746  -0.02
Fe 0.7500 0.7500 0.7500  3.21
P 0.0000 0.0000 0.0000  -0.03

Results
- Formation energy: 527 kJ/mol of formula units
- Space-group type: F-43m, No. 216

=====

A plane-wave DFT calculation with PBE-GGA was carried out for crystalline MnNiP3 at its relaxed geometry.

Cell lengths 4.3254, 4.3254, 4.3254 Å; angles 90.00, 90.00, 90.00 degrees
Site moments in Bohr magnetons follow the coordinates.
Sites, in units of the cell vectors:
Ni 0.5000 0.5000 0.5000  -0.15
P 0.5000 0.0000 0.0000  -0.05
P 0.0000 0.5000 0.0000  0.00
P 0.0000 0.0000 0.5000  0.02
Mn 0.0000 0.0000 0.0000  1.09

Results
- Formation energy: 326 kJ/mol of formula units
- Space-group type: Pm-3m, No. 221
- ΔE to the lowest computed polymorph: 0 meV per atom

=====

A plane-wave DFT calculation with PBE-GGA was carried out for crystalline NaDyIn2 at its relaxed geometry.

Cell lengths 5.2872, 5.2872, 5.2872 Å; angles 60.00, 60.00, 60.00 degrees
Sites, in units of the cell vectors:
Dy 0.0000 0.0000 0.0000
In 0.7500 0.7500 0.7500
In 0.2500 0.2500 0.2500
Na 0.5000 0.5000 0.5000

Results
- Formation energy: -105 kJ/mol of formula units
- Space-group type: Fm-3m, No. 225
- ΔE to the lowest computed polymorph: 32 meV per atom

=====

A plane-wave DFT calculation with PBE-GGA was carried out for crystalline ErTmPu2Te5 at its relaxed geometry.

Cell lengths 5.4754, 5.4754, 11.4665 Å; angles 90.00, 90.00, 90.00 degrees
Site moments in Bohr magnetons follow the coordinates.
Sites, in units of the cell vectors:
Pu 0.5000 0.5000 0.3154  5.75
Pu 0.5000 0.5000 0.6846  5.75
Te 0.5000 0.5000 0.0000  -0.04
Te 0.5000 0.0000 0.5000  -0.04
Te 0.0000 0.0000 0.2441  -0.03
Te 0.0000 0.0000 0.7559  -0.03
Te 0.0000 0.5000 0.5000  -0.04
Tm 0.0000 0.0000 0.5000  0.06
Er 0.0000 0.0000 0.0000  0.05

Results
- Energy relative to the elements, uncorrected: -683.9 meV/atom
- Space-group type: P4/mmm, No. 123

=====

A plane-wave DFT calculation with PBE-GGA was carried out for crystalline CdCu at its relaxed geometry.

Cell lengths 4.7796, 4.7796, 4.7796 Å; angles 35.82, 35.82, 35.82 degrees
Sites, in units of the cell vectors:
Cu 0.5000 0.5000 0.5000
Cd 0.0000 0.0000 0.0000

Results
- Formation energy: 31 kJ/mol of formula units
- Space-group type: R-3m, No. 166

=====

A plane-wave DFT calculation with PBE-GGA was carried out for crystalline Pr2H6PdRh2 at its relaxed geometry.

Cell lengths 5.2309, 5.2309, 6.1182 Å; angles 64.69, 64.69, 60.00 degrees
Sites, in units of the cell vectors:
Pr 0.7732 0.7732 0.6803
Pr 0.2268 0.2268 0.3197
Rh 0.4013 0.4013 0.7961
Rh 0.5987 0.5987 0.2039
H 0.7680 0.2043 0.2596
H 0.2043 0.7680 0.2596
H 0.2320 0.2320 0.7404
H 0.7957 0.2320 0.7404
H 0.7680 0.7680 0.2596
H 0.2320 0.7957 0.7404
Pd 0.0000 0.0000 0.0000

Results
- Space-group type: R-3m, No. 166

=====

A plane-wave DFT calculation with PBE-GGA was carried out for crystalline ZnReTe3 at its relaxed geometry.

Cell lengths 5.2156, 5.2156, 5.2156 Å; angles 90.00, 90.00, 90.00 degrees
Site moments in Bohr magnetons follow the coordinates.
Sites, in units of the cell vectors:
Te 0.0000 0.5000 0.0000  -0.18
Te 0.5000 0.0000 0.0000  -0.09
Te 0.0000 0.0000 0.5000  -0.12
Re 0.5000 0.5000 0.5000  3.56
Zn 0.0000 0.0000 0.0000  -0.01

Results
- Energy relative to the elements, uncorrected: 1426.8 meV/atom
- Space-group type: Pm-3m, No. 221
- ΔE to the lowest computed polymorph: 698 meV per atom

=====

A plane-wave DFT calculation with PBE-GGA was carried out for crystalline CdCu3F at its relaxed geometry.

Cell lengths 4.8413, 4.8413, 4.8413 Å; angles 90.00, 90.00, 90.00 degrees
Sites, in units of the cell vectors:
Cu 0.0000 0.5000 0.0000
Cu 0.5000 0.0000 0.0000
Cu 0.0000 0.0000 0.5000
F 0.5000 0.5000 0.5000
Cd 0.0000 0.0000 0.0000

Results
- Energy relative to the elements, uncorrected: 766.4 meV/atom
- Space-group type: Pm-3m, No. 221
- ΔE to the lowest computed polymorph: 730 meV per atom

=====

A plane-wave DFT calculation with PBE-GGA was carried out for crystalline KZnCl3O at its relaxed geometry.

Cell lengths 7.0474, 7.2788, 12.1954 Å; angles 90.00, 90.00, 90.00 degrees
Site moments in Bohr magnetons follow the coordinates.
Sites, in units of the cell vectors:
Cl 0.5050 0.8235 0.1657  0.26
Cl 0.0077 0.8374 0.1650  0.26
Cl 0.2569 0.5963 0.5628  0.02
Cl 0.7431 0.0963 0.9372  0.02
Cl 0.5077 0.6626 0.8350  0.26
Cl 0.9923 0.3374 0.3350  0.26
Cl 0.4923 0.1626 0.6650  0.26
Cl 0.7569 0.9037 0.4372  0.02
Cl 0.0050 0.6765 0.8343  0.26
Cl 0.9950 0.1765 0.6657  0.26
Cl 0.4950 0.3235 0.3343  0.26
Cl 0.2431 0.4037 0.0628  0.02
K 0.2388 0.9931 0.4565  0.00
K 0.7612 0.4931 0.0435  0.00
K 0.7388 0.5069 0.5435  0.00
K 0.2612 0.0069 0.9565  0.00
Zn 0.2524 0.5321 0.7422  0.01
Zn 0.7524 0.9679 0.2578  0.01
Zn 0.7476 0.0321 0.7578  0.01
Zn 0.2476 0.4679 0.2422  0.01
O 0.7466 0.2266 0.2106  1.08
O 0.7534 0.7734 0.7106  1.08
O 0.2466 0.2734 0.7894  1.08
O 0.2534 0.7266 0.2894  1.08

Results
- Energy relative to the elements, uncorrected: -910.4 meV/atom
- Space-group type: P2_12_12_1, No. 19

=====

A plane-wave DFT calculation with PBE-GGA was carried out for crystalline GaFeGePd2 at its relaxed geometry.

Cell lengths 4.6194, 4.4675, 4.6194 Å; angles 90.00, 90.00, 90.00 degrees
Sites, in units of the cell vectors:
Ge 0.5000 0.5000 0.5000
Pd 0.0000 0.0000 0.5000
Pd 0.5000 0.0000 0.0000
Fe 0.0000 0.0000 0.0000
Ga 0.0000 0.5000 0.0000

Results
- Formation energy: 340 kJ/mol of formula units
- Space-group type: P4/mmm, No. 123

=====

A plane-wave DFT calculation with PBE-GGA was carried out for crystalline Cs2TiCl4F2 at its relaxed geometry.

Cell lengths 5.9659, 7.0149, 7.0149 Å; angles 62.84, 80.72, 80.72 degrees
Sites, in units of the cell vectors:
Cs 0.8237 0.3293 0.3293
Cs 0.1763 0.6707 0.6707
Cl 0.6866 0.3215 0.8561
Cl 0.3134 0.1439 0.6785
Cl 0.3134 0.6785 0.1439
Cl 0.6866 0.8561 0.3215
F 0.2611 0.1248 0.1248
F 0.7389 0.8752 0.8752
Ti 0.5000 0.0000 0.0000

Results
- Energy relative to the elements, uncorrected: -2303.2 meV/atom
- Space-group type: C2/m, No. 12

=====

A plane-wave DFT calculation with PBE-GGA was carried out for crystalline Er8Zn2Ru at its relaxed geometry.

Cell lengths 5.9834, 8.6719, 8.6719 Å; angles 128.91, 103.53, 103.53 degrees
Sites, in units of the cell vectors:
Er 0.9860 0.1935 0.8070
Er 0.2961 0.8465 0.6173
Er 0.2961 0.6173 0.8465
Er 0.7698 0.7211 0.7211
Er 0.1279 0.2744 0.2744
Er 0.9860 0.8070 0.1935
Er 0.6492 0.1609 0.3960
Er 0.6492 0.3960 0.1609
Zn 0.4745 0.2842 0.7250
Zn 0.4745 0.7250 0.2842
Ru 0.2904 0.0081 0.0081

Results
- Formation energy: -151 kJ/mol of formula units
- Space-group type: Cm, No. 8
- ΔE to the lowest computed polymorph: 77 meV per atom

=====

A plane-wave DFT calculation with PBE-GGA was carried out for crystalline Na3Er3VTe8 at its relaxed geometry.

Cell lengths 8.4807, 8.4935, 9.2310 Å; angles 117.49, 90.00, 119.95 degrees
Site moments in Bohr magnetons follow the coordinates.
Sites, in units of the cell vectors:
Er 0.5000 0.0000 0.5000  0.00
Er 0.5000 0.5000 0.5000  0.00
Er 0.0000 0.5000 0.5000  0.00
Te 0.2270 0.4539 0.7157  -0.05
Te 0.7731 0.0111 0.2843  -0.05
Te 0.7441 0.4882 0.7322  -0.02
Te 0.2559 0.5118 0.2678  -0.02
Te 0.7730 0.5461 0.2843  -0.05
Te 0.2381 0.0111 0.2843  -0.05
Te 0.2269 0.9889 0.7157  -0.05
Te 0.7619 0.9889 0.7157  -0.05
V 0.0000 0.0000 0.5000  1.68
Na 0.5000 0.5000 0.0000  0.00
Na 0.0000 0.5000 0.0000  0.00
Na 0.0000 0.0000 0.0000  0.00

Results
- Energy relative to the elements, uncorrected: -1032.8 meV/atom
- Space-group type: C2/m, No. 12

=====

A plane-wave DFT calculation with PBE-GGA was carried out for crystalline TcRu2Se at its relaxed geometry.

Cell lengths 4.9343, 4.9343, 4.4081 Å; angles 87.86, 87.86, 34.10 degrees
Sites, in units of the cell vectors:
Ru 0.7235 0.7235 0.7617
Ru 0.9976 0.9976 0.0033
Se 0.5012 0.5012 0.5059
Tc 0.2778 0.2778 0.2291

Results
- Energy relative to the elements, uncorrected: 256.3 meV/atom
- Space-group type: Cm, No. 8

=====

A plane-wave DFT calculation with PBE-GGA was carried out for crystalline PrSmYCd at its relaxed geometry.

Cell lengths 5.5708, 5.5708, 5.5708 Å; angles 60.00, 60.00, 60.00 degrees
Sites, in units of the cell vectors:
Pr 0.5000 0.5000 0.5000
Sm 0.0000 0.0000 0.0000
Y 0.7500 0.7500 0.7500
Cd 0.2500 0.2500 0.2500

Results
- Formation energy: -10 kJ/mol of formula units
- Space-group type: F-43m, No. 216
- ΔE to the lowest computed polymorph: 132 meV per atom

=====

| no. | total energy (eV for the cell shown) |
| --- | --- |
| 1 | -56.967 |
| 2 | -34.264 |
| 3 | -106.529 |
| 4 | -75.023 |
| 5 | -47.158 |
| 6 | -21.763 |
| 7 | -155.935 |
| 8 | -41.000 |
| 9 | -17.873 |
| 10 | -27.805 |
| 11 | -12.484 |
| 12 | -59.562 |
| 13 | -4.694 |
| 14 | -53.811 |
| 15 | -16.013 |
| 16 | -11.243 |
| 17 | -73.328 |
| 18 | -22.970 |
| 19 | -41.460 |
| 20 | -49.892 |
| 21 | -67.390 |
| 22 | -31.377 |
| 23 | -16.984 |